The following is a DFT calculation (PBE-GGA) of an optimized crystal structure of Nd2Ga4HgPt3.

Results
Energy = -48.2 eV per formula unit
Symmetry = P-4m2 (115)
Mass density = 11.140 g cm⁻³
Formation energy from the elements = -0.812 eV per atom
Magnetic moment = 0.00 μB/f.u.

Unit cell a=4.3624 b=4.3624 c=10.5991 alpha=90.00 beta=90.00 gamma=90.00
Element x y z (fractional)
Nd: 0.0000 0.5000 0.2372
Nd: 0.5000 0.0000 0.7628
Ga: 0.0000 0.0000 0.0000
Ga: 0.0000 0.5000 0.6420
Ga: 0.5000 0.0000 0.3580
Ga: 0.5000 0.5000 0.0000
Hg: 0.0000 0.0000 0.5000
Pt: 0.0000 0.5000 0.8734
Pt: 0.5000 0.0000 0.1266
Pt: 0.5000 0.5000 0.5000